VASP calculation (GGA-PBE) on a geometry-optimized Ho4Mg7Sc structure.

## Properties
space group = P-3m1 (164)

Unit cell a=5.2200 b=5.2200 c=13.1304 alpha=90.00 beta=90.00 gamma=120.00
Element x y z (fractional)
Ho: 0.3333 0.6667 0.9188
Ho: 0.6667 0.3333 0.0812
Ho: 0.3333 0.6667 0.6572
Ho: 0.6667 0.3333 0.3428
Mg: 0.0000 0.0000 0.0000
Mg: 0.3333 0.6667 0.4191
Mg: 0.6667 0.3333 0.5809
Mg: 0.3333 0.6667 0.1832
Mg: 0.6667 0.3333 0.8168
Mg: 0.0000 0.0000 0.7561
Mg: 0.0000 0.0000 0.2439
Sc: 0.0000 0.0000 0.5000

---

VASP calculation (GGA-PBE) on a geometry-optimized LaPm3Ag4 structure.

## Properties
space group = P4/mmm (123)

Unit cell a=5.3322 b=7.4462 c=10.6648 alpha=90.00 beta=90.00 gamma=90.00
Element x y z (fractional)
Pm: 0.0000 0.0000 0.0000
Pm: 0.0000 0.0000 0.5000
Pm: 0.5001 0.0000 0.7500
Pm: 0.4999 0.0000 0.2500
Pm: 0.5001 0.5000 0.7500
Pm: 0.4999 0.5000 0.2500
Ag: 0.5000 0.7576 0.0000
Ag: 0.5000 0.7576 0.5000
Ag: 0.5000 0.2424 0.0000
Ag: 0.5000 0.2424 0.5000
Ag: 0.0003 0.7575 0.7500
Ag: 0.9997 0.7575 0.2500
Ag: 0.9997 0.2425 0.2500
Ag: 0.0003 0.2425 0.7500
La: 0.0000 0.5000 0.0000
La: 0.0000 0.5000 0.5000

---

VASP calculation (GGA-PBE) on a geometry-optimized Li2Ac3Te2S4 structure.

## Properties
space group = I4/mmm (139)
energy relative to the elements, uncorrected = -1.652 eV/atom

Unit cell a=4.7882 b=4.7882 c=12.9487 alpha=100.65 beta=100.65 gamma=90.00
Element x y z (fractional)
Li: 0.4095 0.4095 0.8190
Li: 0.5905 0.5905 0.1810
Ac: 0.0000 0.0000 0.0000
Ac: 0.1586 0.1586 0.3173
Ac: 0.8414 0.8414 0.6827
Te: 0.2956 0.2956 0.5913
Te: 0.7044 0.7044 0.4087
S: 0.4224 0.9224 0.8448
S: 0.9224 0.4224 0.8448
S: 0.0776 0.5776 0.1552
S: 0.5776 0.0776 0.1552

---

VASP calculation (GGA-PBE) on a geometry-optimized Sc2CoPbN structure.

## Properties
space group = P4/mmm (123)
energy relative to the elements, uncorrected = 1.645 eV/atom

Unit cell a=5.3530 b=4.6956 c=5.3530 alpha=90.00 beta=90.00 gamma=90.00
Site moments in Bohr magnetons follow the coordinates.
Element x y z (fractional)
Pb: 0.0000 0.0000 0.0000  0.03
Sc: 0.0000 0.0000 0.5000  -0.32
Sc: 0.5000 0.0000 0.0000  -0.24
Co: 0.0000 0.5000 0.0000  1.63
N: 0.5000 0.5000 0.5000  0.91

---

VASP calculation (GGA-PBE) on a geometry-optimized AcSmIN structure.

## Properties
space group = Cm (8)
energy relative to the elements, uncorrected = -1.133 eV/atom

Unit cell a=3.8550 b=3.8585 c=8.3980 alpha=89.96 beta=103.25 gamma=120.18
Element x y z (fractional)
Ac: 0.5178 0.1558 0.6898
Sm: 0.0815 0.9396 0.0356
I: 0.9515 0.3736 0.3401
N: 0.3271 0.5619 0.9041

---

VASP calculation (GGA-PBE) on a geometry-optimized Ho6Er2Th structure.

## Properties
space group = R3m (160)

Unit cell a=6.8683 b=6.8683 c=8.6718 alpha=66.67 beta=66.67 gamma=60.00
Element x y z (fractional)
Ho: 0.7709 0.2828 0.6637
Ho: 0.2826 0.7709 0.6637
Ho: 0.2828 0.2826 0.6637
Ho: 0.0559 0.5596 0.3289
Ho: 0.0557 0.0559 0.3289
Ho: 0.5596 0.0557 0.3289
Er: 0.7409 0.7409 0.7772
Er: 0.5810 0.5810 0.2571
Th: 0.3363 0.3363 0.9910

---

VASP calculation (GGA-PBE) on a geometry-optimized PrHo6Er3 structure.

## Properties
space group = Cmc2_1 (36)

Unit cell a=6.1714 b=10.9062 c=10.9062 alpha=119.77 beta=90.00 gamma=90.00
Element x y z (fractional)
Pr: 0.1620 0.2082 0.7918
Pr: 0.6620 0.7918 0.2082
Ho: 0.0272 0.7120 0.6192
Ho: 0.5272 0.6192 0.7120
Ho: 0.3631 0.5444 0.9652
Ho: 0.8631 0.9652 0.5444
Ho: 0.4136 0.9526 0.0474
Ho: 0.6407 0.2889 0.7111
Ho: 0.1407 0.7111 0.2889
Ho: 0.9136 0.0474 0.9526
Ho: 0.3631 0.0348 0.4556
Ho: 0.8631 0.4556 0.0348
Ho: 0.0272 0.3808 0.2880
Ho: 0.5272 0.2880 0.3808
Er: 0.4562 0.9328 0.7166
Er: 0.9562 0.7166 0.9328
Er: 0.0759 0.3903 0.6097
Er: 0.5759 0.6097 0.3903
Er: 0.9562 0.0672 0.2834
Er: 0.4562 0.2834 0.0672

---

VASP calculation (GGA-PBE) on a geometry-optimized Pa4H3IrRh12 structure.

## Properties
space group = Im-3m (229)

Unit cell a=7.3137 b=7.3137 c=7.3137 alpha=109.47 beta=109.47 gamma=109.47
Element x y z (fractional)
Pa: 0.5000 0.5000 0.5000
Pa: 0.0000 0.0000 0.5000
Pa: 0.5000 0.0000 0.0000
Pa: 0.0000 0.5000 0.0000
H: 0.5000 0.0000 0.5000
H: 0.5000 0.5000 0.0000
H: 0.0000 0.5000 0.5000
Ir: 0.0000 0.0000 0.0000
Rh: 0.2500 0.5000 0.7500
Rh: 0.7100 0.0000 0.7100
Rh: 0.2900 0.0000 0.2900
Rh: 0.7500 0.5000 0.2500
Rh: 0.7100 0.7100 0.0000
Rh: 0.2900 0.2900 0.0000
Rh: 0.7500 0.2500 0.5000
Rh: 0.2500 0.7500 0.5000
Rh: 0.5000 0.2500 0.7500
Rh: 0.0000 0.7100 0.7100
Rh: 0.5000 0.7500 0.2500
Rh: 0.0000 0.2900 0.2900

---

VASP calculation (GGA-PBE) on a geometry-optimized In2FeAs structure.

## Properties
space group = Pm (6)

Unit cell a=3.5620 b=4.1478 c=5.8762 alpha=69.39 beta=90.00 gamma=90.00
Site moments in Bohr magnetons follow the coordinates.
Element x y z (fractional)
As: 0.0000 0.6925 0.4912  -0.02
Fe: 0.5000 0.5386 0.7963  2.24
In: 0.0000 0.9783 0.9176  -0.05
In: 0.5000 0.2906 0.2948  0.00

---

VASP calculation (GGA-PBE) on a geometry-optimized CePm4Tm2 structure.

## Properties
space group = P3m1 (156)

Unit cell a=3.5966 b=3.5954 c=20.3854 alpha=90.02 beta=90.00 gamma=120.01
Site moments in Bohr magnetons follow the coordinates.
Element x y z (fractional)
Tm: 0.7140 0.4279 0.0967  0.09
Tm: 0.7147 0.4294 0.3802  0.00
Ce: 0.7148 0.4296 0.6650  0.77
Pm: 0.0481 0.0963 0.9568  0.01
Pm: 0.3809 0.7618 0.5224  0.01
Pm: 0.0476 0.0951 0.2383  0.02
Pm: 0.3813 0.7626 0.8087  0.02

---

VASP calculation (GGA-PBE) on a geometry-optimized NbAgBr3 structure.

## Properties
space group = Pm-3m (221)
energy relative to the elements, uncorrected = -0.063 eV/atom

Unit cell a=5.3020 b=5.3020 c=5.3020 alpha=90.00 beta=90.00 gamma=90.00
Site moments in Bohr magnetons follow the coordinates.
Element x y z (fractional)
Nb: 0.0000 0.0000 0.0000  2.02
Br: 0.0000 0.5000 0.0000  0.02
Br: 0.0000 0.0000 0.5000  0.01
Br: 0.5000 0.0000 0.0000  0.04
Ag: 0.5000 0.5000 0.5000  0.09

---

VASP calculation (GGA-PBE) on a geometry-optimized SrLiSi2 structure.

## Properties
space group = Cm (8)
energy relative to the elements, uncorrected = -0.193 eV/atom

Unit cell a=4.8494 b=4.8494 c=5.8479 alpha=69.46 beta=69.46 gamma=46.18
Element x y z (fractional)
Li: 0.3048 0.3048 0.0969
Si: 0.0262 0.0262 0.0258
Si: 0.6906 0.6906 0.8611
Sr: 0.4784 0.4784 0.5162

---

Number 1: total magnetization 0.00 μB/cell, DFT total energy -2.999 eV per atom. Number 2: total magnetization 0.00 μB/cell, DFT total energy -4.086 eV per atom. Number 3: total magnetization 0.00 μB/cell, DFT total energy -5.192 eV per atom. Number 4: total magnetization 1.95 μB/cell, DFT total energy -4.716 eV per atom. Number 5: total magnetization 0.00 μB/cell, DFT total energy -5.809 eV per atom. Number 6: total magnetization 0.00 μB/cell, DFT total energy -4.459 eV per atom. Number 7: total magnetization 0.00 μB/cell, DFT total energy -4.442 eV per atom. Number 8: total magnetization 0.00 μB/cell, DFT total energy -7.795 eV per atom. Number 9: total magnetization 2.17 μB/cell, DFT total energy -4.534 eV per atom. Number 10: total magnetization 1.24 μB/cell, DFT total energy -4.791 eV per atom. Number 11: total magnetization 2.80 μB/cell, DFT total energy -3.651 eV per atom. Number 12: total magnetization 0.00 μB/cell, DFT total energy -3.803 eV per atom.